# PBE-GGA Th2Sc2Sb3, relaxed
# Total moment in μB/f.u.: 0.41
# ΔE_f (raw) in eV per atom: -0.5996
data_Th2Sc2Sb3
_cell_length_a 4.131
_cell_length_b 7.278
_cell_length_c 7.306
_cell_angle_alpha 96.49
_cell_angle_beta 90.01
_cell_angle_gamma 106.47
_symmetry_space_group_name_H-M 'P -1'
_symmetry_Int_Tables_number 2
loop_
_symmetry_equiv_pos_as_xyz
'x,y,z'
'-x,-y,-z'
loop_
_atom_site_label
_atom_site_fract_x
_atom_site_fract_y
_atom_site_fract_z
Th1 0.111 0.221 0.400
Sc1 0.376 0.752 0.124
Sb1 0.000 0.000 0.000
Sb2 0.256 0.513 0.767